Crystalline K2AcZnF8 at its relaxed geometry, computed with PBE.

As for the total energy: -4.752 eV per atom. Its crystal system is triclinic. As for the calculated volume: 203 Å³ per cell.

The structure in CIF format:
```
data_K2AcZnF8
_cell_length_a 4.3639
_cell_length_b 6.1348
_cell_length_c 7.6084
_cell_angle_alpha 86.71
_cell_angle_beta 88.69
_cell_angle_gamma 85.19
_symmetry_space_group_name_H-M 'P -1'
_symmetry_Int_Tables_number 2
_symmetry_space_group_name_Hall '-P 1'
loop_
_atom_site_label
_atom_site_type_symbol
_atom_site_fract_x
_atom_site_fract_y
_atom_site_fract_z
K1 K 0.0098 0.0129 0.2279
Ac1 Ac 0.5000 0.5000 0.5000
Zn1 Zn 0.5000 0.5000 0.0000
F1 F 0.0014 0.2762 0.4963
F2 F 0.1149 0.6697 0.0271
F3 F 0.4355 0.2742 0.7806
F4 F 0.4561 0.2964 0.2190
```